(1)
Below is RbCo2IrSe after structural relaxation, with properties calculated at the PBE-GGA level.

Cell and atoms, written as POSCAR:
```
RbCo2IrSe
1.0
-3.371 1.827 2.945
-3.555 -1.995 -2.832
0.141 -4.033 2.664
Ir Co Se Rb
1 2 1 1
Direct
0.000 0.000 0.000 Ir
0.000 0.000 0.500 Co
0.500 0.000 0.000 Co
0.000 0.500 0.000 Se
0.500 0.500 0.500 Rb
```

Computed properties:
Uncorrected formation energy, eV/atom: 0.70
Size of the total moment, μB per cell: 4.5
Energy, eV for the cell shown: -24.032
Calculated volume, Å³/atom: 23.207
Calculated density, Mg/m³: 6.79

(2)
Below is Tb2Nd4YHo2 after structural relaxation, with properties calculated at the PBE-GGA level.

Cell and atoms, written as POSCAR:
```
Tb2Nd4YHo2
1.0
-2.434 -0.751 -4.422
6.559 -4.715 0.134
-5.876 -3.905 3.898
Tb Nd Y Ho
2 4 1 2
Direct
0.888 0.777 0.331 Tb
0.112 0.223 0.669 Tb
0.777 0.554 0.668 Nd
0.223 0.446 0.332 Nd
0.554 0.109 0.332 Nd
0.446 0.891 0.668 Nd
0.000 0.000 0.000 Y
0.332 0.665 0.000 Ho
0.668 0.335 0.000 Ho
```

Computed properties:
Size of the total moment, μB per cell: 0.0
Energy, eV for the cell shown: -43.775
Formation energy, eV per atom: 0.02
Calculated volume, Å³/atom: 33.227
Calculated density, Mg/m³: 7.29

(3)
Below is BeGeBr3 after structural relaxation, with properties calculated at the PBE-GGA level.

Cell and atoms, written as POSCAR:
```
BeGeBr3
1.0
-2.125 2.566 -3.517
1.672 -3.132 -3.296
-4.019 -2.660 0.488
Be Ge Br
1 1 3
Direct
0.000 0.000 0.000 Be
0.500 0.500 0.500 Ge
0.000 0.500 0.000 Br
0.000 0.000 0.500 Br
0.500 0.000 0.000 Br
```

Computed properties:
Uncorrected formation energy, eV/atom: -0.07
Size of the total moment, μB per cell: 0.0
Energy, eV for the cell shown: -13.705
Calculated volume, Å³/atom: 22.737
Calculated density, Mg/m³: 4.69

(4)
Below is NdEr3Tm6 after structural relaxation, with properties calculated at the PBE-GGA level.

Cell and atoms, written as POSCAR:
```
NdEr3Tm6
1.0
8.563 0.000 4.544
3.076 7.992 4.544
2.153 1.479 6.283
Nd Er Tm
1 3 6
Direct
0.898 0.898 0.307 Nd
0.395 0.395 0.814 Er
0.640 0.640 0.080 Er
0.145 0.145 0.564 Er
0.906 0.566 0.290 Tm
0.238 0.906 0.290 Tm
0.566 0.238 0.290 Tm
0.070 0.407 0.788 Tm
0.735 0.070 0.788 Tm
0.407 0.735 0.788 Tm
```

Computed properties:
Size of the total moment, μB per cell: 0.0
Energy, eV for the cell shown: -42.343
Formation energy, eV per atom: 0.29
Calculated volume, Å³/atom: 31.493
Calculated density, Mg/m³: 8.75